The following is a PBE-GGA calculation of crystalline P2RhClF at its relaxed geometry, from Alexandria via LeMat-Bulk.

POSCAR file:
```
P2RhClF
1.0
4.520 0.000 0.000
0.000 4.520 0.000
0.000 0.000 4.910
P Rh Cl F
2 1 1 1
direct
0.000 0.500 0.000
0.500 0.000 0.000
0.000 0.000 0.000
0.000 0.000 0.500
0.500 0.500 0.500
```

Magnetization (μB per cell): 0.4
Energy (eV/atom): -4.132
Raw formation energy (kJ/mol of formula units): 119
Space-group type: P4/mmm
Distance to the lowest polymorph of the same formula (eV/atom): 0.000


The following is a PBE-GGA calculation of crystalline HoCo6Ge6 at its relaxed geometry, from Alexandria via LeMat-Bulk.

POSCAR file:
```
HoCo6Ge6
1.0
5.088 0.000 0.000
-2.544 4.406 0.000
0.000 0.000 7.849
Ho Co Ge
1 6 6
direct
0.000 0.000 0.000
0.000 0.500 0.251
0.000 0.500 0.749
0.500 0.000 0.251
0.500 0.000 0.749
0.500 0.500 0.251
0.500 0.500 0.749
0.000 0.000 0.345
0.000 0.000 0.655
0.333 0.667 0.000
0.333 0.667 0.500
0.667 0.333 0.000
0.667 0.333 0.500
```

Magnetization (μB per cell): 0.0
Energy (eV/atom): -6.114
Space-group type: P6/mmm
Formation energy (eV per atom): -0.351


The following is a PBE-GGA calculation of crystalline MgTePb2 at its relaxed geometry, from Alexandria via LeMat-Bulk.

POSCAR file:
```
MgTePb2
1.0
4.209 0.000 0.000
0.000 4.209 0.000
0.000 0.000 6.672
Mg Te Pb
1 1 2
direct
0.000 0.000 0.000
0.000 0.000 0.500
0.500 0.500 0.247
0.500 0.500 0.753
```

Magnetization (μB per cell): 0.0
Energy (eV/atom): -3.088
Raw formation energy (kJ/mol of formula units): -19
Space-group type: P4/mmm
Distance to the lowest polymorph of the same formula (eV/atom): 0.148


The following is a PBE-GGA calculation of crystalline NdErBeZn at its relaxed geometry, from Alexandria via LeMat-Bulk.

POSCAR file:
```
NdErBeZn
1.0
0.000 3.540 3.540
3.540 0.000 3.540
3.540 3.540 0.000
Nd Er Be Zn
1 1 1 1
direct
0.000 0.000 0.000
0.500 0.500 0.500
0.750 0.750 0.750
0.250 0.250 0.250
```

Magnetization (μB per cell): 0.0
Energy (eV/atom): -3.651
Space-group type: F-43m
Formation energy (eV per atom): -0.068


The following is a PBE-GGA calculation of crystalline Er6BiRh at its relaxed geometry, from Alexandria via LeMat-Bulk.

POSCAR file:
```
Er6BiRh
1.0
6.789 0.000 0.000
-3.394 5.891 0.000
-3.383 -1.966 6.509
Er Bi Rh
6 1 1
direct
0.044 0.081 0.267
0.304 0.722 0.267
0.313 0.536 0.733
0.687 0.464 0.267
0.696 0.278 0.733
0.956 0.919 0.733
0.500 0.000 0.000
0.500 0.500 0.500
```

Magnetization (μB per cell): 0.0
Energy (eV/atom): -5.049
Space-group type: P-1
Formation energy (eV per atom): -0.223


The following is a PBE-GGA calculation of crystalline NiBC3 at its relaxed geometry, from Alexandria via LeMat-Bulk.

POSCAR file:
```
NiBC3
1.0
3.716 0.000 0.000
0.000 3.716 0.000
0.000 0.000 3.716
Ni B C
1 1 3
direct
0.000 0.000 0.000
0.500 0.500 0.500
0.000 0.000 0.500
0.000 0.500 0.000
0.500 0.000 0.000
```

Magnetization (μB per cell): 0.0
Energy (eV/atom): -4.966
Space-group type: Pm-3m
Formation energy (eV per atom): 3.060
Distance to the lowest polymorph of the same formula (eV/atom): 2.827


The following is a PBE-GGA calculation of crystalline RbNbCd at its relaxed geometry, from Alexandria via LeMat-Bulk.

POSCAR file:
```
RbNbCd
1.0
0.000 3.834 3.834
3.834 0.000 3.834
3.834 3.834 0.000
Rb Nb Cd
1 1 1
direct
0.000 0.000 0.000
0.500 0.500 0.500
0.250 0.250 0.250
```

Magnetization (μB per cell): 4.0
Energy (eV/atom): -2.538
Space-group type: F-43m
Formation energy (eV per atom): 1.447
Distance to the lowest polymorph of the same formula (eV/atom): 1.140


The following is a PBE-GGA calculation of crystalline Pm2PrY6Sc3 at its relaxed geometry, from Alexandria via LeMat-Bulk.

POSCAR file:
```
Pm2PrY6Sc3
1.0
3.063 -5.306 0.000
3.063 5.306 0.000
-2.042 0.000 11.409
Pm Pr Y Sc
2 1 6 3
direct
0.167 0.833 0.000
0.833 0.167 0.000
0.500 0.500 0.000
0.079 0.412 0.738
0.254 0.254 0.262
0.412 0.079 0.738
0.588 0.921 0.262
0.746 0.746 0.738
0.921 0.588 0.262
0.000 0.000 0.500
0.333 0.667 0.500
0.667 0.333 0.500
```

Magnetization (μB per cell): 0.0
Energy (eV/atom): -5.953
Space-group type: C2/m
Formation energy (eV per atom): 0.052


The following is a PBE-GGA calculation of crystalline Ac4LaDy at its relaxed geometry, from Alexandria via LeMat-Bulk.

POSCAR file:
```
Ac4LaDy
1.0
0.000 5.074 5.074
5.074 0.000 5.074
5.074 5.074 0.000
Ac La Dy
4 1 1
direct
0.376 0.376 0.376
0.376 0.376 0.873
0.376 0.873 0.376
0.873 0.376 0.376
0.000 0.000 0.000
0.750 0.750 0.750
```

Magnetization (μB per cell): 0.0
Energy (eV/atom): -3.999
Space-group type: F-43m
Formation energy (eV per atom): 0.328
Distance to the lowest polymorph of the same formula (eV/atom): 0.197


The following is a PBE-GGA calculation of crystalline Mg7AgPb2 at its relaxed geometry, from Alexandria via LeMat-Bulk.

POSCAR file:
```
Mg7AgPb2
1.0
0.000 5.221 5.221
5.221 0.000 5.221
5.221 5.221 0.000
Mg Ag Pb
7 1 2
direct
0.000 0.000 0.000
0.257 0.257 0.743
0.257 0.743 0.257
0.257 0.743 0.743
0.743 0.257 0.257
0.743 0.257 0.743
0.743 0.743 0.257
0.500 0.500 0.500
0.250 0.250 0.250
0.750 0.750 0.750
```

Magnetization (μB per cell): 0.0
Energy (eV/atom): -1.852
Space-group type: Fm-3m
Formation energy (eV per atom): 0.291


The following is a PBE-GGA calculation of crystalline CeEuPu at its relaxed geometry, from Alexandria via LeMat-Bulk.

POSCAR file:
```
CeEuPu
1.0
-1.733 1.733 7.492
1.733 -1.733 7.492
1.733 1.733 -7.492
Ce Eu Pu
1 1 1
direct
0.000 0.000 0.000
0.313 0.313 0.000
0.631 0.631 0.000
```

Magnetization (μB per cell): 1.6
Energy (eV/atom): -9.976
Space-group type: I4mm
Formation energy (eV per atom): 0.204


The following is a PBE-GGA calculation of crystalline AlZn2Re at its relaxed geometry, from Alexandria via LeMat-Bulk.

POSCAR file:
```
AlZn2Re
1.0
0.000 3.075 3.075
3.075 0.000 3.075
3.075 3.075 0.000
Al Zn Re
1 2 1
direct
0.000 0.000 0.000
0.500 0.500 0.500
0.750 0.750 0.750
0.250 0.250 0.250
```

Magnetization (μB per cell): 0.0
Energy (eV/atom): -4.460
Space-group type: F-43m
Formation energy (eV per atom): 0.225


Please write out number 12 again, unchanged.
The following is a PBE-GGA calculation of crystalline AlZn2Re at its relaxed geometry, from Alexandria via LeMat-Bulk.

POSCAR file:
```
AlZn2Re
1.0
0.000 3.075 3.075
3.075 0.000 3.075
3.075 3.075 0.000
Al Zn Re
1 2 1
direct
0.000 0.000 0.000
0.500 0.500 0.500
0.750 0.750 0.750
0.250 0.250 0.250
```

Magnetization (μB per cell): 0.0
Energy (eV/atom): -4.460
Space-group type: F-43m
Formation energy (eV per atom): 0.225


Question: What is the energy in the second record?
Answer: -6.114 eV/atom